(1)
Here is a relaxed structure of Pm from the Open Quantum Materials Database. Energies are from PBE-GGA.

Properties
Its energy above the most stable polymorph in this dataset is 0.173 eV/atom. For the formation energy, the calculation gives 0.173 eV/atom. The space group is I-43m, No. 217.

Geometry as POSCAR:
```
Pm
1.0
-6.270 6.270 6.270
6.270 -6.270 6.270
6.270 6.270 -6.270
Pm
29
Cartesian
0.000 0.000 0.000 Pm
4.006 4.006 -4.006 Pm
3.537 1.178 -1.178 Pm
3.537 -1.178 1.178 Pm
6.907 1.676 -1.676 Pm
4.006 -4.006 4.006 Pm
6.907 -1.676 1.676 Pm
1.178 3.537 -1.178 Pm
1.178 -1.178 3.537 Pm
9.004 1.178 1.178 Pm
5.634 1.676 1.676 Pm
4.594 4.594 -0.636 Pm
4.594 -0.636 4.594 Pm
2.264 2.264 2.264 Pm
-1.178 3.537 1.178 Pm
-1.178 1.178 3.537 Pm
1.676 6.907 -1.676 Pm
1.676 -1.676 6.907 Pm
1.676 5.634 1.676 Pm
1.676 1.676 5.634 Pm
5.092 5.092 2.734 Pm
5.092 2.734 5.092 Pm
-4.006 4.006 4.006 Pm
-1.676 6.907 1.676 Pm
-1.676 1.676 6.907 Pm
-0.636 4.594 4.594 Pm
1.178 9.004 1.178 Pm
2.734 5.092 5.092 Pm
1.178 1.178 9.004 Pm
```

---

(2)
Here is a relaxed structure of Pm from the Open Quantum Materials Database. Energies are from PBE-GGA.

Properties
Its energy above the most stable polymorph in this dataset is 0.015 eV/atom. For the formation energy, the calculation gives 0.015 eV/atom. The space group is R-3m, No. 166.

Geometry as POSCAR:
```
Pm
1.0
1.830 1.057 2.894
-1.830 1.057 2.894
0.000 -2.113 2.894
Pm
1
Cartesian
0.000 0.000 0.000 Pm
```

---

(3)
Here is a relaxed structure of Pm from the Open Quantum Materials Database. Energies are from PBE-GGA.

Properties
Its energy above the most stable polymorph in this dataset is 0.156 eV/atom. For the formation energy, the calculation gives 0.156 eV/atom. The space group is P4_132, No. 213.

Geometry as POSCAR:
```
Pm
1.0
8.810 0.000 0.000
0.000 8.810 0.000
0.000 0.000 8.810
Pm
20
Cartesian
0.394 1.101 7.001 Pm
0.548 8.261 3.856 Pm
1.101 7.001 0.394 Pm
1.654 1.654 1.654 Pm
1.808 4.799 3.304 Pm
2.597 4.011 7.709 Pm
2.751 7.156 6.059 Pm
3.304 1.808 4.799 Pm
3.856 0.548 8.261 Pm
4.011 7.709 2.597 Pm
4.799 3.304 1.808 Pm
4.953 4.953 4.953 Pm
5.506 6.213 8.416 Pm
6.059 2.751 7.156 Pm
6.213 8.416 5.506 Pm
7.001 0.394 1.101 Pm
7.156 6.059 2.751 Pm
7.709 2.597 4.011 Pm
8.261 3.856 0.548 Pm
8.416 5.506 6.213 Pm
```

---

(4)
Here is a relaxed structure of Pm from the Open Quantum Materials Database. Energies are from PBE-GGA.

Properties
Its energy above the most stable polymorph in this dataset is 0.174 eV/atom. For the formation energy, the calculation gives 0.174 eV/atom. The space group is Cmce, No. 64.

Geometry as POSCAR:
```
Pm
1.0
2.985 -6.230 0.000
2.985 6.230 0.000
0.000 0.000 3.692
Pm
4
Cartesian
2.985 4.549 3.542 Pm
2.985 1.681 1.696 Pm
2.985 -1.681 1.996 Pm
2.985 -4.549 0.150 Pm
```

---

(5)
Here is a relaxed structure of Pm from the Open Quantum Materials Database. Energies are from PBE-GGA.

Properties
Its energy above the most stable polymorph in this dataset is 0.390 eV/atom. For the formation energy, the calculation gives 0.390 eV/atom. The space group is I4_1/amd, No. 141.

Geometry as POSCAR:
```
Pm
1.0
-3.130 3.130 1.736
3.130 -3.130 1.736
3.130 3.130 -1.736
Pm
2
Cartesian
3.130 1.565 0.434 Pm
0.000 1.565 1.302 Pm
```

---

(6)
Here is a relaxed structure of PmPr2 from the Open Quantum Materials Database. Energies are from PBE-GGA.

Properties
Its energy above the most stable polymorph in this dataset is 0.000 eV/atom. For the formation energy, the calculation gives 0.248 eV/atom. The space group is Fd-3m, No. 227.

Geometry as POSCAR:
```
PmPr2
1.0
0.000 4.771 4.771
4.771 0.000 4.771
4.771 4.771 0.000
Pm Pr
2 4
Cartesian
1.193 1.193 1.193 Pm
8.350 8.350 8.350 Pm
4.771 2.386 2.386 Pr
2.386 4.771 2.386 Pr
2.386 2.386 4.771 Pr
4.771 4.771 4.771 Pr
```

---

(7)
Here is a relaxed structure of PmPr2 from the Open Quantum Materials Database. Energies are from PBE-GGA.

Properties
Its energy above the most stable polymorph in this dataset is 2.263 eV/atom. For the formation energy, the calculation gives 2.511 eV/atom. The space group is Fd-3m, No. 227.

Geometry as POSCAR:
```
PmPr2
1.0
0.000 6.544 6.544
6.544 0.000 6.544
6.544 6.544 0.000
Pm Pr
2 4
Cartesian
1.636 1.636 1.636 Pm
11.452 11.452 11.452 Pm
0.000 0.000 0.000 Pr
3.272 3.272 0.000 Pr
3.272 0.000 3.272 Pr
0.000 3.272 3.272 Pr
```

---

(8)
Here is a relaxed structure of Pm2PrPt9 from the Open Quantum Materials Database. Energies are from PBE-GGA.

Properties
For the formation energy, the calculation gives -0.914 eV/atom. The space group is R-3m, No. 166.

Geometry as POSCAR:
```
Pm2PrPt9
1.0
2.728 1.575 8.893
-2.728 1.575 8.893
0.000 -3.150 8.893
Pm Pr Pt
2 1 9
Cartesian
0.000 0.000 3.721 Pm
0.000 0.000 22.956 Pm
0.000 0.000 0.000 Pr
-1.380 -0.797 11.157 Pt
0.000 0.000 8.881 Pt
0.000 -1.593 15.521 Pt
-1.380 0.797 15.521 Pt
0.000 0.000 13.339 Pt
1.380 -0.797 11.157 Pt
0.000 1.593 11.157 Pt
0.000 0.000 17.797 Pt
1.380 0.797 15.521 Pt
```

---

no.,mass density (g/cm³)
1,7.08
2,7.17
3,7.04
4,7.01
5,7.08
6,6.52
7,2.53
8,15.84